# 1
VASP calculation (PBE) on crystalline LiTlBiSb at its relaxed geometry.

Unit cell a=5.4158 b=5.4158 c=5.4158 alpha=60.00 beta=60.00 gamma=60.00
Last column: nearest neighbours and their distance in Å.
Element x y z (fractional)
Li  0.0000  0.0000  0.0000  4 Sb 3.32, 4 Tl 3.32
Bi  0.5000  0.5000  0.5000  4 Tl 3.32, 4 Sb 3.32
Sb  0.7500  0.7500  0.7500  4 Li 3.32, 4 Bi 3.32
Tl  0.2500  0.2500  0.2500  4 Li 3.32, 4 Bi 3.32

Results
* energy: -3.10 eV per atom
* polymorph energy (0 for the lowest one): 0.146 eV/atom
* M_tot: 0.00 μB/atom
* formation energy (no corrections): -0.12 eV per formula unit
* V: 28.082 Å³ per atom
* crystal system: cubic
* SG: F-43m (216)



# 2
VASP calculation (PBE) on crystalline PrIr2 at its relaxed geometry.

Unit cell a=5.4609 b=5.4609 c=5.4609 alpha=60.00 beta=60.00 gamma=60.00
Last column: nearest neighbours and their distance in Å.
Element x y z (fractional)
Ir  0.1250  0.1250  0.1250  6 Ir 2.73
Ir  0.6250  0.1250  0.1250  6 Ir 2.73
Ir  0.1250  0.6250  0.1250  6 Ir 2.73
Ir  0.1250  0.1250  0.6250  6 Ir 2.73
Pr  0.5000  0.5000  0.5000  12 Ir 3.20, 4 Pr 3.34
Pr  0.7500  0.7500  0.7500  12 Ir 3.20, 4 Pr 3.34

Results
* energy: -8.16 eV per atom
* formation energy from the elements: -1.98 eV/f.u.
* M_tot: 0.00 μB/atom
* V: 19.192 Å³ per atom
* crystal system: cubic
* SG: Fd-3m (227)



# 3
VASP calculation (PBE) on crystalline CrMo2IrN at its relaxed geometry.

Unit cell a=4.0862 b=4.0862 c=3.8886 alpha=90.00 beta=90.00 gamma=90.00
Last column: nearest neighbours and their distance in Å.
Element x y z (fractional)
Mo  0.5000  0.0000  0.0000  2 N 2.04
Mo  0.0000  0.5000  0.0000  2 N 2.04
Ir  0.5000  0.5000  0.5000  8 Mo 2.82, 4 Cr 2.89
Cr  0.0000  0.0000  0.5000  2 N 1.94
N  0.0000  0.0000  0.0000  2 Cr 1.94, 4 Mo 2.04

Results
* energy: -9.93 eV per atom
* M_tot: 0.21 μB/atom
* formation energy (no corrections): -1.16 eV per formula unit
* V: 12.986 Å³ per atom
* crystal system: tetragonal
* SG: P4/mmm (123)



# 4
VASP calculation (PBE) on crystalline AsPOs2Br at its relaxed geometry.

Unit cell a=4.6025 b=5.2929 c=4.6025 alpha=90.00 beta=90.00 gamma=90.00
Last column: nearest neighbours and their distance in Å.
Element x y z (fractional)
P  0.5000  0.5000  0.5000  4 Br 3.25, 8 Os 3.51
Os  0.0000  0.0000  0.5000  2 As 2.30
Os  0.5000  0.0000  0.0000  2 As 2.30
Br  0.0000  0.5000  0.0000  2 As 2.65
As  0.0000  0.0000  0.0000  4 Os 2.30

Results
* energy: -4.88 eV per atom
* M_tot: 0.43 μB/atom
* formation energy (no corrections): 9.78 eV per formula unit
* V: 22.424 Å³ per atom
* crystal system: tetragonal
* SG: P4/mmm (123)



# 5
VASP calculation (PBE) on crystalline SrLiAl2 at its relaxed geometry.

Unit cell a=4.5236 b=3.4179 c=6.5751 alpha=77.09 beta=90.00 gamma=90.00
Last column: nearest neighbours and their distance in Å.
Element x y z (fractional)
Li  0.0000  0.4965  0.4017  6 Al 2.85-3.01
Sr  0.5000  0.7697  0.7865  7 Al 3.27-3.55, 2 Sr 3.42, 2 Li 3.67
Al  0.0000  0.1560  0.0440  2 Al 2.68, 2 Li 2.85-2.87
Al  0.5000  0.0777  0.2678  2 Al 2.68, 2 Li 2.92

Results
* energy: -2.82 eV per atom
* formation energy from the elements: -0.21 eV/f.u.
* polymorph energy (0 for the lowest one): 0.141 eV/atom
* M_tot: 0.00 μB/atom
* V: 24.772 Å³ per atom
* crystal system: monoclinic
* SG: Pm (6)



# 6
VASP calculation (PBE) on crystalline Ce4NdEr3S8 at its relaxed geometry.

Unit cell a=7.9148 b=7.9741 c=7.9146 alpha=119.75 beta=120.00 gamma=90.00
Last column: nearest neighbours and their distance in Å.
Element x y z (fractional)
S  0.2620  0.2596  0.0108  2 Er 2.75, 3 Ce 2.80-2.87, 1 Nd 2.82
S  0.2512  0.7404  0.5024  2 Er 2.75, 3 Ce 2.80-2.87, 1 Nd 2.82
S  0.7488  0.2596  0.4976  2 Er 2.75, 3 Ce 2.80-2.87, 1 Nd 2.82
S  0.7488  0.2596  0.0108  2 Er 2.75, 3 Ce 2.80-2.87, 1 Nd 2.82
S  0.7447  0.7343  0.4895  3 Er 2.75, 3 Ce 2.87
S  0.2512  0.7404  0.9892  2 Er 2.75, 3 Ce 2.80-2.87, 1 Nd 2.82
S  0.2553  0.2657  0.5105  3 Er 2.75, 3 Ce 2.87
S  0.7380  0.7404  0.9892  2 Er 2.75, 3 Ce 2.80-2.87, 1 Nd 2.82
Ce  0.5000  0.0000  0.5000  6 S 2.87
Ce  0.0000  0.0000  0.5000  6 S 2.87
Ce  0.5000  0.0000  0.0000  6 S 2.80
Ce  0.0000  0.0000  0.0000  6 S 2.87
Nd  0.0000  0.5000  0.0000  6 S 2.82
Er  0.5000  0.5000  0.5000  6 S 2.75
Er  0.0000  0.5000  0.5000  6 S 2.75
Er  0.5000  0.5000  0.0000  6 S 2.75

Results
* energy: -6.71 eV per atom
* M_tot: 0.18 μB/atom
* formation energy (no corrections): -32.22 eV per formula unit
* V: 22.158 Å³ per atom
* crystal system: trigonal
* SG: R-3m (166)



# 7
VASP calculation (PBE) on crystalline Nd2DySc3 at its relaxed geometry.

Unit cell a=5.3376 b=8.5353 c=9.6979 alpha=121.48 beta=90.00 gamma=108.22
Last column: nearest neighbours and their distance in Å.
Element x y z (fractional)
Sc  0.7426  0.4851  0.4263  4 Sc 2.97-3.26, 1 Nd 3.16
Sc  0.0233  0.0466  0.3722  4 Sc 2.96-3.25, 2 Nd 3.19
Sc  0.3827  0.7654  0.4024  4 Sc 3.18-3.26, 1 Dy 3.42, 4 Nd 3.44-3.52
Sc  0.2574  0.5149  0.5737  4 Sc 2.97-3.26, 1 Nd 3.16
Sc  0.9767  0.9534  0.6278  4 Sc 2.96-3.25, 2 Nd 3.19
Sc  0.6173  0.2346  0.5976  4 Sc 3.18-3.26, 1 Dy 3.42, 4 Nd 3.44-3.52
Dy  0.8689  0.7378  0.8530  5 Sc 3.42-3.51, 1 Dy 3.59, 7 Nd 3.61-3.77
Dy  0.1311  0.2622  0.1470  5 Sc 3.42-3.51, 1 Dy 3.59, 7 Nd 3.61-3.77
Nd  0.4870  0.9740  0.1662  5 Sc 3.19-3.52, 1 Nd 3.47
Nd  0.2223  0.4446  0.8639  4 Sc 3.16-3.44, 2 Nd 3.51
Nd  0.5130  0.0260  0.8338  5 Sc 3.19-3.52, 1 Nd 3.47
Nd  0.7777  0.5554  0.1361  4 Sc 3.16-3.44, 2 Nd 3.51

Results
* energy: -5.44 eV per atom
* formation energy from the elements: 0.49 eV/f.u.
* polymorph energy (0 for the lowest one): 0.028 eV/atom
* M_tot: 0.00 μB/atom
* V: 29.214 Å³ per atom
* crystal system: monoclinic
* SG: C2/m (12)



# 8
VASP calculation (PBE) on crystalline NaPm2Sn at its relaxed geometry.

Unit cell a=4.4904 b=5.1000 c=5.1000 alpha=90.00 beta=90.00 gamma=90.00
Last column: nearest neighbours and their distance in Å.
Element x y z (fractional)
Pm  0.0000  0.5000  0.0000  4 Sn 3.40, 4 Na 3.40, 4 Pm 3.61
Pm  0.0000  0.0000  0.5000  4 Sn 3.40, 4 Na 3.40, 4 Pm 3.61
Sn  0.5000  0.5000  0.5000  8 Pm 3.40, 4 Na 3.61
Na  0.5000  0.0000  0.0000  8 Pm 3.40, 4 Sn 3.61

Results
* energy: -4.02 eV per atom
* formation energy from the elements: -1.25 eV/f.u.
* M_tot: 0.00 μB/atom
* V: 29.199 Å³ per atom
* crystal system: tetragonal
* SG: P4/mmm (123)